No. 1
4
Lattice="4.391 -1.389 0.000 4.391 1.389 0.000 -0.633 0.000 4.700" Properties=species:S:1:pos:R:3 comment="Zn2ReRu | the Alexandria database | GGA-PBE | optimized geometry" sg=Cm formation_energy_ev_per_atom=0.121 e_tot_ev_per_cell=-23.786 relative_energy_mev_per_atom=149.4 volume_a3_per_cell=57 pbc="T T T"
Zn 0.000 0.000 0.000
Zn 1.666 0.000 3.709
Re 4.027 0.000 2.328
Ru 6.389 0.000 1.379


No. 2
5
Lattice="6.036 0.000 0.000 0.000 6.036 0.000 0.000 0.000 6.036" Properties=species:S:1:pos:R:3 comment="LaAlHg3 | the Alexandria database | GGA-PBE | optimized geometry" sg=Pm-3m formation_energy_ev_per_atom=0.665 e_tot_ev_per_cell=-6.248 relative_energy_mev_per_atom=982.4 volume_a3_per_cell=220 pbc="T T T"
La 0.000 0.000 0.000
Al 3.018 3.018 3.018
Hg 0.000 0.000 3.018
Hg 0.000 3.018 0.000
Hg 3.018 0.000 0.000


No. 3
12
Lattice="7.175 -2.668 0.000 7.175 2.668 0.000 -5.387 0.000 8.217" Properties=species:S:1:pos:R:3 comment="Th4PbAu7 | the Alexandria database | GGA-PBE | optimized geometry" sg=C2/m formation_energy_ev_per_atom=-0.460 e_tot_ev_per_cell=-61.844 volume_a3_per_cell=315 pbc="T T T"
Th -0.357 0.000 2.105
Th -0.922 0.000 6.518
Th 9.884 0.000 1.699
Th 9.320 0.000 6.112
Pb 4.481 0.000 4.109
Au -2.694 0.000 4.109
Au 2.110 0.000 0.400
Au 1.447 0.000 4.675
Au 5.228 0.000 1.185
Au 3.734 0.000 7.032
Au 7.515 0.000 3.542
Au 6.853 0.000 7.817


No. 4
12
Lattice="3.736 -6.473 0.000 3.736 6.473 0.000 -2.496 0.000 7.062" Properties=species:S:1:pos:R:3 comment="La6Se5Br | the Alexandria database | GGA-PBE | optimized geometry" sg=C2/m e_tot_ev_per_cell=-71.317 e_form_raw_mev_per_atom=-1888 volume_a3_per_cell=342 pbc="T T T"
La -0.045 2.226 5.238
La 1.163 0.000 1.801
La -0.045 -2.226 5.238
La 5.020 2.226 1.824
La 3.812 0.000 5.262
La 5.020 -2.226 1.824
Se -1.248 0.000 3.531
Se 3.736 4.306 0.000
Se 2.488 2.107 3.531
Se 2.488 -2.107 3.531
Se 3.736 -4.306 0.000
Br 3.736 0.000 0.000